Record 1
Compound: Rb2FeAgP
Source: Alexandria
Functional: PBE
Structure: relaxed

Computed properties:
- space group = P4/mmm, No. 123
- energy of formation (kJ per mole of atoms) = 28.9

Cell lengths 6.696, 6.696, 4.232 Å; angles 90.00, 90.00, 90.00 degrees
Fractional coordinates of all 5 atoms:
Rb: 0.000 0.500 0.000
Rb: 0.500 0.000 0.000
Fe: 0.000 0.000 0.000
Ag: 0.500 0.500 0.500
P: 0.000 0.000 0.500

Record 2
Compound: Sr2Ac3LaTe6
Source: Alexandria
Functional: PBE
Structure: relaxed

Computed properties:
- space group = C2/m, No. 12
- energy (eV/atom) = -4.859

Cell lengths 8.125, 8.125, 8.186 Å; angles 99.53, 99.53, 120.01 degrees
Fractional coordinates of all 12 atoms:
Sr: 0.166 0.834 0.000
Sr: 0.834 0.166 0.000
Ac: 0.000 0.000 0.500
Ac: 0.331 0.669 0.500
Ac: 0.669 0.331 0.500
La: 0.500 0.500 0.000
Te: 0.088 0.419 0.758
Te: 0.251 0.251 0.246
Te: 0.419 0.088 0.758
Te: 0.581 0.912 0.242
Te: 0.749 0.749 0.754
Te: 0.912 0.581 0.242

Record 3
Compound: KBaSi2
Source: Alexandria
Functional: PBE
Structure: relaxed

Computed properties:
- space group = P4/mmm, No. 123
- energy relative to the lowest polymorph listed for this composition (kcal/mol of atoms) = 11.84

Cell lengths 3.418, 3.418, 10.077 Å; angles 90.00, 90.00, 90.00 degrees
Fractional coordinates of all 4 atoms:
K: 0.000 0.000 0.000
Ba: 0.000 0.000 0.500
Si: 0.500 0.500 0.257
Si: 0.500 0.500 0.743

Record 4
Compound: Mg3TiI
Source: Alexandria
Functional: PBE
Structure: relaxed

Computed properties:
- space group = Pm-3m, No. 221
- energy relative to the lowest polymorph listed for this composition (kcal/mol of atoms) = 0.00

Cell lengths 5.692, 5.692, 5.692 Å; angles 90.00, 90.00, 90.00 degrees
Fractional coordinates of all 5 atoms:
Mg: 0.000 0.000 0.500
Mg: 0.000 0.500 0.000
Mg: 0.500 0.000 0.000
Ti: 0.000 0.000 0.000
I: 0.500 0.500 0.500

Record 5
Compound: ThCuPb
Source: Alexandria
Functional: PBE
Structure: relaxed

Computed properties:
- space group = P3m1, No. 156
- energy of formation (kJ per mole of atoms) = -19.1

Cell lengths 4.513, 4.513, 4.271 Å; angles 90.00, 90.00, 120.00 degrees
Fractional coordinates of all 3 atoms:
Th: 0.000 0.000 0.000
Cu: 0.333 0.667 0.381
Pb: 0.667 0.333 0.518

Record 6
Compound: AlZnW2
Source: Alexandria
Functional: PBE
Structure: relaxed

Computed properties:
- space group = Imm2, No. 44
- energy of formation (kJ per mole of atoms) = 14.7
- energy relative to the lowest polymorph listed for this composition (kcal/mol of atoms) = 2.07

Cell lengths 4.933, 4.933, 4.933 Å; angles 138.97, 128.13, 68.17 degrees
Fractional coordinates of all 4 atoms:
Al: 0.000 0.000 0.000
Zn: 0.763 0.263 0.500
W: 0.257 0.757 0.500
W: 0.505 0.505 0.000

| no. | density (g/cm3) | total magnetization (μB per cell) |
| --- | --- | --- |
| 1 | 3.2 | 2.30 |
| 2 | 6.6 | 0.00 |
| 3 | 3.3 | 0.00 |
| 4 | 2.2 | 2.85 |
| 5 | 11.1 | 0.00 |
| 6 | 12.5 | 0.00 |